Record 1
Density functional theory data (PBE-GGA) for a geometry-optimized Pr2Zn2CdPt5 structure.

a b c (Å): 9.875 9.875 3.874
angles (deg): 90.00 90.00 90.00
Atoms (fractional coordinates):
1 Pr 0.178 0.322 0.000
2 Pr 0.322 0.822 0.000
3 Pr 0.678 0.178 0.000
4 Pr 0.822 0.678 0.000
5 Zn 0.119 0.619 0.000
6 Zn 0.381 0.119 0.000
7 Zn 0.619 0.881 0.000
8 Zn 0.881 0.381 0.000
9 Cd 0.000 0.000 0.000
10 Cd 0.500 0.500 0.000
11 Pt 0.000 0.500 0.500
12 Pt 0.064 0.790 0.500
13 Pt 0.210 0.064 0.500
14 Pt 0.290 0.564 0.500
15 Pt 0.436 0.290 0.500
16 Pt 0.500 0.000 0.500
17 Pt 0.564 0.710 0.500
18 Pt 0.710 0.436 0.500
19 Pt 0.790 0.936 0.500
20 Pt 0.936 0.210 0.500

## Properties
Total energy in eV/atom: -5.05

Record 2
Density functional theory data (PBE-GGA) for a geometry-optimized PrPuCd2 structure.

a b c (Å): 11.058 11.058 11.058
angles (deg): 18.00 18.00 18.00
Atoms (fractional coordinates):
1 Pr 0.000 0.000 0.000
2 Pu 0.500 0.500 0.500
3 Cd 0.249 0.249 0.249
4 Cd 0.751 0.751 0.751

## Properties
Total energy in eV/atom: -5.22

no.,ΔE_f (eV per atom)
1,-0.725
2,0.019